1.
Zn2PAu | GGA-PBE | optimized geometry

Values from the calculation:
For the density of states at the Fermi level, the calculation gives 0.975 states/eV/f.u. The value obtained for the total magnetization is 0.0000 μB per atom. As for the raw total energy: -0.203 Ry/atom.

```
Zn2PAu
1.0
-4.1247 1.7684 0.4276
-1.1751 -2.7946 0.2225
-0.0237 -1.2632 4.9959
Zn P Au
2 1 1
Direct
0.0000 0.1650 0.0446
0.5000 0.5917 0.1935
0.5000 0.3008 0.7713
0.0000 0.4425 0.4905
```

=====

2.
ZnP2Au | GGA-PBE | optimized geometry

Values from the calculation:
For the density of states at the Fermi level, the calculation gives 2.530 states/eV/f.u. The value obtained for the total magnetization is 0.0000 μB per atom. As for the raw total energy: -0.267 Ry/atom.

```
ZnP2Au
1.0
-2.9668 5.2813 -0.1279
-3.2737 3.8608 3.3297
-0.1205 5.6070 2.2927
Au P Zn
1 2 1
Direct
0.7500 0.7500 0.7500
0.0034 0.0034 0.0034
0.4966 0.4966 0.4966
0.2500 0.2500 0.2500
```